Below is crystalline Li6YMg8 at its relaxed geometry, with properties calculated at the GGA-PBE level.

Cell: 8.231 8.231 7.587 Å, 57.15 57.15 60.00°
Fractional positions:
Li: 0.379 0.119 0.883
Li: 0.881 0.382 0.117
Li: 0.382 0.621 0.117
Li: 0.618 0.379 0.883
Li: 0.119 0.618 0.883
Li: 0.621 0.881 0.117
Y: 0.000 0.000 0.000
Mg: 0.583 0.173 0.384
Mg: 0.827 0.141 0.616
Mg: 0.141 0.417 0.616
Mg: 0.759 0.759 0.724
Mg: 0.241 0.241 0.276
Mg: 0.859 0.583 0.384
Mg: 0.173 0.859 0.384
Mg: 0.417 0.827 0.616

Values from the calculation:
DOS(E_F)   0.332 states/eV per atom
Density   1.6 Mg/m³
Energy of formation from the pure elements   0.9 eV/f.u.
Electronic total energy   -1.990 eV per atom
Magnetic moment   0.00 μB/f.u.